[1]
First-principles (GGA-PBE) data for an optimized crystal structure of Tm6AsS5, as listed in the Alexandria database.

The calculation puts the total energy at -149.1 eV per cell. The density is 8.36 g cm⁻³. The crystal system is monoclinic. The calculation puts the formation energy without anion corrections at -1.87 eV per atom. As for the total magnetization: 0.000 μB per cell.

The structure belongs to space group C2/m (No. 12); the cell edges are 6.708, 11.636 and 6.732 Å and the angles 90.00°, 109.33° and 90.00°. The inequivalent atoms are Tm at (0.246, 0.167, 0.244), Tm at (0.248, 0.000, 0.755), As at (0.000, 0.500, 0.500), S at (0.000, 0.000, 0.000), S at (0.000, 0.167, 0.500) and S at (0.000, 0.335, 0.000).

---

[2]
First-principles (GGA-PBE) data for an optimized crystal structure of Tm2AsS, as listed in the Alexandria database.

The calculation puts the total energy at -72.7 eV per cell. The density is 8.21 g cm⁻³. The crystal system is trigonal. The calculation puts the formation energy without anion corrections at -1.63 eV per atom. The calculation puts the energy above the most stable polymorph in this dataset at 0.120 eV per atom. As for the total magnetization: 0.006 μB per cell.

The structure belongs to space group R3m (No. 160, hexagonal axes); the cell edges are 3.8946, 3.8946 and 20.5503 Å and the angles 90.00°, 90.00° and 120.00°. The inequivalent atoms are Tm at (0.0000, 0.0000, 0.0000), Tm at (0.0000, 0.0000, 0.1742), As at (0.0000, 0.0000, 0.5885) and S at (0.0000, 0.0000, 0.4187).

---

[3]
First-principles (GGA-PBE) data for an optimized crystal structure of Tm2AsS4, as listed in the Alexandria database.

The calculation puts the total energy at -74.4 eV per cell. The density is 4.18 g cm⁻³. The crystal system is tetragonal. The calculation puts the formation energy without anion corrections at -1.01 eV per atom. As for the total magnetization: 0.041 μB per cell.

The structure belongs to space group I-42m (No. 121); the cell edges are 6.098, 6.098 and 11.551 Å and the angles 90.00°, 90.00° and 90.00°. The inequivalent atoms are Tm at (0.000, 0.500, 0.250), As at (0.000, 0.000, 0.000) and S at (0.240, 0.240, 0.128).

---

[4]
First-principles (GGA-PBE) data for an optimized crystal structure of Tm2AsS, as listed in the Alexandria database.

The calculation puts the total energy at -98.8 eV per cell. The density is 8.41 g cm⁻³. The crystal system is tetragonal. The calculation puts the formation energy without anion corrections at -1.75 eV per atom. The calculation puts the energy above the most stable polymorph in this dataset at 0.000 eV per atom. As for the total magnetization: 0.000 μB per cell.

The structure belongs to space group I4_1/amd (No. 141, origin choice 2); the cell edges are 5.595, 5.595 and 11.230 Å and the angles 90.00°, 90.00° and 90.00°. The inequivalent atoms are Tm at (0.000, 0.250, 0.125), As at (0.000, 0.250, 0.375) and S at (0.000, 0.250, 0.875).

---

[5]
First-principles (GGA-PBE) data for an optimized crystal structure of Tm3As5S12, as listed in the Alexandria database.

The calculation puts the total energy at -794.9 eV per cell. The density is 4.57 g cm⁻³. The crystal system is cubic. The calculation puts the formation energy without anion corrections at -0.66 eV per atom. As for the total magnetization: 0.000 μB per cell.

The structure belongs to space group Ia-3d (No. 230); the cell edges are 15.444, 15.444 and 15.444 Å and the angles 90.00°, 90.00° and 90.00°. The inequivalent atoms are Tm at (0.000, 0.250, 0.125), As at (0.000, 0.000, 0.000), As at (0.000, 0.250, 0.375) and S at (0.019, 0.064, 0.652).

---

[6]
First-principles (GGA-PBE) data for an optimized crystal structure of Tm8AsS6, as listed in the Alexandria database.

The calculation puts the total energy at -87.4 eV per cell. The density is 8.16 g cm⁻³. The crystal system is trigonal. The calculation puts the formation energy without anion corrections at -1.48 eV per atom. As for the total magnetization: 0.000 μB per cell.

The structure belongs to space group P-3 (No. 147); the cell edges are 9.8853, 9.8853 and 3.8915 Å and the angles 90.00°, 90.00° and 120.00°. The inequivalent atoms are Tm at (0.0330, 0.3254, 0.2571), Tm at (0.3333, 0.6667, 0.7473), As at (0.0000, 0.0000, 0.5000) and S at (0.1336, 0.6518, 0.2473).